(1)
Here is CaNbSe2 after structural relaxation from Alexandria. Energies are from PBEsol.

a b c (Å): 3.5413 3.5413 27.1210
angles (deg): 90.00 90.00 120.00
Last column: nearest neighbours and their distance in Å.
Space group R-3m (No. 166, hexagonal axes)
Unique sites:
1 Ca 0.0000 0.0000 0.0000 (multiplicity 3)  2 Se 2.87
2 Nb 0.0000 0.0000 0.5000 (multiplicity 3)  6 Se 2.63
3 Se 0.0000 0.0000 0.1059 (multiplicity 6)  3 Nb 2.63, 1 Ca 2.87

Properties
ΔE_f (raw)   -16.7 kcal/mol of atoms
Total moment   0.01 μB/cell
Energy   -5.886 eV per atom
Energy relative to the lowest polymorph listed for this composition   136.0 meV/atom


(2)
Here is Mg2NbRuSe after structural relaxation from Alexandria. Energies are from PBEsol.

a b c (Å): 4.9186 4.9186 4.6325
angles (deg): 90.00 90.00 90.00
Last column: nearest neighbours and their distance in Å.
Space group P4/mmm (No. 123)
Unique sites:
1 Mg 0.0000 0.5000 0.0000 (multiplicity 2)  2 Ru 2.46
2 Nb 0.0000 0.0000 0.5000 (multiplicity 1)  2 Ru 2.32
3 Ru 0.0000 0.0000 0.0000 (multiplicity 1)  2 Nb 2.32, 4 Mg 2.46
4 Se 0.5000 0.5000 0.5000 (multiplicity 1)  8 Mg 3.38, 4 Nb 3.48

Properties
ΔE_f (raw)   11.1 kcal/mol of atoms
Total moment   0.31 μB/cell
Energy   -5.176 eV per atom


(3)
Here is HfP2H6O10 after structural relaxation from Alexandria. Energies are from PBEsol.

a b c (Å): 5.3652 6.5830 12.1984
angles (deg): 90.00 102.33 90.00
Last column: nearest neighbours and their distance in Å.
Space group P2_1 (No. 4)
Unique sites:
1 Hf 0.1783 0.0000 0.3702 (multiplicity 2)  6 O 2.01-2.12
2 P 0.2391 0.4995 0.4411 (multiplicity 2)  4 O 1.53-1.55
3 P 0.3944 0.5996 0.8045 (multiplicity 2)  4 O 1.53-1.56
4 H 0.0195 0.5911 0.8959 (multiplicity 2)  1 O 1.00
5 H 0.0760 0.6462 0.0277 (multiplicity 2)  1 O 1.01
6 H 0.1024 0.4009 0.1198 (multiplicity 2)  1 O 1.00
7 H 0.1546 0.5726 0.2182 (multiplicity 2)  1 O 0.99
8 H 0.3144 0.0919 0.0463 (multiplicity 2)  1 O 1.03
9 H 0.4657 0.4190 0.1870 (multiplicity 2)  1 O 1.04
10 O 0.0437 0.1730 0.0467 (multiplicity 2)  2 H 1.00-1.01
11 O 0.0765 0.5042 0.5305 (multiplicity 2)  1 P 1.54
12 O 0.1221 0.5135 0.7742 (multiplicity 2)  1 P 1.54
13 O 0.1767 0.6851 0.3618 (multiplicity 2)  1 P 1.55
14 O 0.1798 0.3089 0.3683 (multiplicity 2)  1 P 1.53
15 O 0.2035 0.5256 0.1482 (multiplicity 2)  2 H 0.99-1.00
16 O 0.3696 0.8343 0.7876 (multiplicity 2)  1 H 1.04
17 O 0.4256 0.0071 0.2634 (multiplicity 2)  1 P 1.53
18 O 0.4766 0.0016 0.5017 (multiplicity 2)  1 P 1.54
19 O 0.4963 0.5479 0.9313 (multiplicity 2)  1 H 1.03

Properties
Total moment   0.00 μB/cell
Energy   -6.895 eV per atom


Among the records above, which one has the lowest energy? HfP2H6O10


Please write out number 1 again, unchanged.
Here is CaNbSe2 after structural relaxation from Alexandria. Energies are from PBEsol.

a b c (Å): 3.5413 3.5413 27.1210
angles (deg): 90.00 90.00 120.00
Last column: nearest neighbours and their distance in Å.
Space group R-3m (No. 166, hexagonal axes)
Unique sites:
1 Ca 0.0000 0.0000 0.0000 (multiplicity 3)  2 Se 2.87
2 Nb 0.0000 0.0000 0.5000 (multiplicity 3)  6 Se 2.63
3 Se 0.0000 0.0000 0.1059 (multiplicity 6)  3 Nb 2.63, 1 Ca 2.87

Properties
ΔE_f (raw)   -16.7 kcal/mol of atoms
Total moment   0.01 μB/cell
Energy   -5.886 eV per atom
Energy relative to the lowest polymorph listed for this composition   136.0 meV/atom


The lowest energy belongs to which entry? HfP2H6O10


Among the records above, which one has the highest total moment? Mg2NbRuSe